Record 1
Computed, not measured: CsRbGeS after structural relaxation at the PBE level of DFT.

a = 6.6515 Å, b = 4.3434 Å, c = 13.3073 Å
α = 90.00°, β = 90.00°, γ = 90.00°
Atoms (fractional coordinates):
S (0.5000, 0.5000, 0.9372)
Rb (0.5000, 0.0000, 0.7474)
Cs (0.0000, 0.0000, 0.5016)
Rb (0.5000, 0.5000, 0.2474)
Cs (0.0000, 0.5000, 0.0016)
Ge (0.5000, 0.5000, 0.5282)
Ge (0.5000, 0.0000, 0.0282)
S (0.5000, 0.0000, 0.4372)

Computed properties:
Crystal system: orthorhombic
E_tot in eV/atom: -3.0119
Formation energy from raw total energies in eV/atom: -0.3704
Distance to the lowest polymorph of the same formula in kJ/mol of atoms: 9.6
SG: Amm2, No. 38

Record 2
Computed, not measured: Li4SmNp3Se8 after structural relaxation at the PBE level of DFT.

a = 8.2354 Å, b = 8.0411 Å, c = 8.2352 Å
α = 120.81°, β = 120.00°, γ = 90.00°
Atoms (fractional coordinates):
Se (0.7511, 0.7532, 0.5022)
Np (0.5000, 0.5000, 0.5000)
Se (0.2539, 0.7575, 0.5078)
Li (0.0000, 0.0000, 0.0000)
Se (0.2489, 0.2468, 0.4978)
Se (0.7498, 0.7576, 0.0037)
Li (0.0000, 0.0000, 0.5000)
Np (0.5000, 0.5000, 0.0000)
Se (0.2502, 0.2424, 0.9963)
Se (0.7461, 0.2425, 0.4922)
Li (0.5000, 0.0000, 0.0000)
Np (0.0000, 0.5000, 0.5000)
Li (0.5000, 0.0000, 0.5000)
Se (0.7461, 0.2424, 0.9963)
Sm (0.0000, 0.5000, 0.0000)
Se (0.2539, 0.7576, 0.0037)

Computed properties:
Crystal system: trigonal
E_tot in eV/atom: -6.2508
Formation energy from raw total energies in eV/atom: -1.3088
SG: R-3m, No. 166

Record 3
Computed, not measured: CdGaSn after structural relaxation at the PBE level of DFT.

a = 3.2802 Å, b = 3.2802 Å, c = 7.6577 Å
α = 90.00°, β = 90.00°, γ = 120.00°
Atoms (fractional coordinates):
Ga (0.6667, 0.3333, 0.3375)
Sn (0.0000, 0.0000, 0.0110)
Cd (0.3333, 0.6667, 0.6515)

Computed properties:
Crystal system: trigonal
E_tot in eV/atom: -2.5815
Distance to the lowest polymorph of the same formula in kJ/mol of atoms: 3.3
SG: P3m1, No. 156
Formation energy in eV/atom: 0.0668

> What is the E_tot in the second record?

-6.2508 eV/atom